Compound: CdAgWF6
Source: Alexandria via LeMat-Bulk
Functional: GGA+U
Structure: optimized geometry

```
CdAgWF6
1.0
5.8679 0.0000 0.0000
-2.9339 5.0817 0.0000
0.0000 0.0000 9.5331
F Ag Cd W
12 2 2 2
Direct
0.6459 0.6913 0.6251
0.6459 0.9545 0.8749
0.0455 0.6913 0.8749
0.3087 0.3541 0.8749
0.3541 0.0455 0.1251
0.3087 0.9545 0.6251
0.9545 0.3087 0.1251
0.6913 0.6459 0.1251
0.3541 0.3087 0.3749
0.9545 0.6459 0.3749
0.0455 0.3541 0.6251
0.6913 0.0455 0.3749
0.3333 0.6667 0.2500
0.6667 0.3333 0.7500
0.0000 0.0000 0.5000
0.0000 0.0000 0.0000
0.6667 0.3333 0.2500
0.3333 0.6667 0.7500
```

* DFT total energy: -81.72 eV per cell